<one>
This record from the Alexandria database describes LiCuRe2 after structural relaxation. The functional is GGA-PBE.

a b c (Å): 4.183 4.183 4.183
angles (deg): 60.00 60.00 60.00
Element x y z (fractional)
Re (0.250, 0.250, 0.250)
Re (0.750, 0.750, 0.750)
Cu (0.500, 0.500, 0.500)
Li (0.000, 0.000, 0.000)

Values from the calculation:
crystal system	cubic
total moment	0.00	Bohr magnetons per cell

---

<two>
This record from the Alexandria database describes LiCuRe2 after structural relaxation. The functional is GGA-PBE.

a b c (Å): 3.063 4.118 4.389
angles (deg): 90.00 90.00 90.00
Element x y z (fractional)
Cu (0.500, 0.000, 0.500)
Li (0.000, 0.500, 0.500)
Re (0.000, 0.000, 0.000)
Re (0.500, 0.500, 0.000)

Values from the calculation:
crystal system	orthorhombic
total moment	0.00	Bohr magnetons per cell

---

What are the relative energies? In meV per atom: <one> 415; <two> 0.

---

<one>
This record from the Alexandria database describes LiCuRe2 after structural relaxation. The functional is GGA-PBE.

a b c (Å): 3.573 3.573 9.797
angles (deg): 79.49 79.49 90.00
Element x y z (fractional)
Re (0.616, 0.125, 0.250)
Re (0.134, 0.625, 0.250)
Re (0.375, 0.384, 0.750)
Re (0.875, 0.866, 0.750)
Cu (0.000, 0.000, 0.000)
Cu (0.750, 0.250, 0.500)
Li (0.500, 0.500, 0.000)
Li (0.250, 0.750, 0.500)

Values from the calculation:
crystal system	tetragonal
total moment	0.00	Bohr magnetons per cell

---

<two>
This record from the Alexandria database describes LiCuRe2 after structural relaxation. The functional is GGA-PBE.

a b c (Å): 2.546 2.546 8.727
angles (deg): 90.00 90.00 90.00
Element x y z (fractional)
Cu (0.500, 0.500, 0.250)
Li (0.500, 0.500, 0.750)
Re (0.000, 0.000, 0.011)
Re (0.000, 0.000, 0.489)

Values from the calculation:
crystal system	tetragonal
total moment	0.00	Bohr magnetons per cell

---

What are the relative energies? In meV per atom: <one> 300; <two> 0.